A plane-wave DFT calculation with GGA-PBE was carried out for crystalline Ba2Si7Pd12 at its relaxed geometry.

a b c (Å): 10.300 10.300 3.885
angles (deg): 90.00 90.00 120.00
Sites, in units of the cell vectors:
Ba: 0.000 0.000 0.000
Ba: 0.333 0.667 0.500
Si: 0.058 0.442 0.000
Si: 0.274 0.232 0.500
Si: 0.384 0.942 0.000
Si: 0.558 0.616 0.000
Si: 0.667 0.333 0.000
Si: 0.768 0.042 0.500
Si: 0.958 0.726 0.500
Pd: 0.048 0.285 0.500
Pd: 0.101 0.710 0.000
Pd: 0.237 0.952 0.500
Pd: 0.290 0.391 0.000
Pd: 0.401 0.186 0.000
Pd: 0.539 0.434 0.500
Pd: 0.566 0.105 0.500
Pd: 0.609 0.899 0.000
Pd: 0.715 0.763 0.500
Pd: 0.786 0.599 0.000
Pd: 0.814 0.214 0.000
Pd: 0.895 0.461 0.500

Results
E_form (uncorrected), eV per atom: -0.65